Entry from Alexandria: a geometry-optimized Nd2Cu2AgPd5 structure (GGA-PBE).

Cell and atoms, written as extended XYZ:
```
20
Lattice="-3.7001 -1.0838 1.0841 3.5677 -7.3722 4.8065 0.6947 5.4062 7.7763" Properties=species:S:1:pos:R:3 pbc="T T T"
Nd 2.5494 -4.0392 4.6631
Nd 1.7130 2.0732 7.9197
Nd 0.8633 0.4081 3.3548
Nd 3.3990 -2.3741 9.2280
Cu 0.8471 2.4726 5.3636
Cu 3.4152 -4.4386 7.2193
Cu 2.8154 0.2217 9.8313
Cu 1.4470 -2.1878 2.7515
Ag 0.0000 0.0000 0.0000
Ag 2.1312 -0.9830 6.2914
Pd -1.0623 -1.7133 2.0597
Pd 1.6245 -1.3366 11.6071
Pd -1.0617 3.2489 7.0230
Pd 0.9762 -3.4177 7.3134
Pd 1.6239 -6.2987 6.6439
Pd -0.4139 0.3678 6.3534
Pd 0.6635 -0.8933 8.7702
Pd -0.1013 -2.1565 4.8967
Pd -0.0662 -4.2280 2.9453
Pd -1.5027 2.1612 4.4302
```

Summary:
DOS at the Fermi energy	0.326	states/eV per atom
ΔH_f (0 K)	-0.54	eV per atom